## TiBW2F (GGA+U)

Data for a relaxed structure of TiBW2F.

Geometry as POSCAR:
```
TiBW2F
1.0
-3.0313 0.9188 -3.8982
-3.0800 -3.6597 1.5325
-2.1029 2.7233 2.2771
F B Ti W
1 1 1 2
Cartesian
-4.1071 -0.0088 -0.0443
-1.0514 1.3617 1.1386
0.0000 0.0000 0.0000
-1.5400 -1.8299 0.7662
-1.5156 0.4594 -1.9491
```

## Properties
Space group: P4/mmm
E_tot, eV per formula unit: -22.2
DOS at the Fermi energy, states/eV/cell: 2.225